# 1
KMgIn: optimized geometry, GGA-PBE.

Properties
Its energy above the most stable polymorph in this dataset is 0.32 kcal/mol of atoms. Its space group is C2/m (12). The calculation puts the total energy at -1.86 eV/atom.

Unit cell a=4.954 b=4.954 c=11.581 alpha=77.90 beta=77.90 gamma=60.01
Fractional coordinates of all 6 atoms:
K1 0.273 0.273 0.676
K2 0.727 0.727 0.324
Mg1 0.850 0.850 0.948
Mg2 0.150 0.150 0.052
In1 0.456 0.456 0.138
In2 0.544 0.544 0.862

---

# 2
CaSb2P: optimized geometry, GGA-PBE.

Properties
The uncorrected formation energy is -8 kJ per mole of atoms. Its space group is F-43m (216). The calculation puts the total energy at -4.00 eV/atom.

Unit cell a=5.236 b=5.236 c=5.236 alpha=60.00 beta=60.00 gamma=60.00
Fractional coordinates of all 4 atoms:
Ca1 0.500 0.500 0.500
P1 0.750 0.750 0.750
Sb1 0.000 0.000 0.000
Sb2 0.250 0.250 0.250

---

# 3
KCu2AgF8: optimized geometry, GGA-PBE.

Properties
The uncorrected formation energy is -155 kJ per mole of atoms. Its space group is I-4 (82). The calculation puts the total energy at -3.86 eV/atom.

Unit cell a=5.757 b=5.757 c=6.507 alpha=116.25 beta=116.25 gamma=90.00
Fractional coordinates of all 12 atoms:
K1 0.750 0.250 0.500
Cu1 0.500 0.500 0.000
Cu2 0.250 0.750 0.500
Ag1 0.000 0.000 0.000
F1 0.671 0.782 0.016
F2 0.345 0.234 0.016
F3 0.564 0.703 0.522
F4 0.958 0.819 0.522
F5 0.181 0.436 0.478
F6 0.297 0.042 0.478
F7 0.218 0.655 0.984
F8 0.766 0.329 0.984

---

# 4
CaTlSe: optimized geometry, GGA-PBE.

Properties
Its energy above the most stable polymorph in this dataset is 6.39 kcal/mol of atoms. The uncorrected formation energy is -72 kJ per mole of atoms. Its space group is F-43m (216). The calculation puts the total energy at -3.37 eV/atom.

Unit cell a=5.113 b=5.113 c=5.113 alpha=60.00 beta=60.00 gamma=60.00
Fractional coordinates of all 3 atoms:
Tl1 0.000 0.000 0.000
Ca1 0.500 0.500 0.500
Se1 0.250 0.250 0.250

---

# 5
PrCuIr: optimized geometry, GGA-PBE.

Properties
Its energy above the most stable polymorph in this dataset is 5.37 kcal/mol of atoms. Its space group is Imma (74). The calculation puts the total energy at -6.11 eV/atom.

Unit cell a=5.012 b=5.877 c=5.877 alpha=66.92 beta=64.73 gamma=64.73
Fractional coordinates of all 6 atoms:
Pr1 0.961 0.768 0.955
Pr2 0.461 0.268 0.455
Cu1 0.210 0.910 0.313
Cu2 0.710 0.626 0.597
Ir1 0.461 0.268 0.955
Ir2 0.961 0.268 0.955

---

# 6
CeTaOs2: optimized geometry, GGA-PBE.

Properties
Its space group is P4/mmm (123). The calculation puts the total energy at -10.31 eV/atom.

Unit cell a=3.149 b=3.149 c=7.398 alpha=90.00 beta=90.00 gamma=90.00
Fractional coordinates of all 4 atoms:
Os1 0.000 0.000 0.790
Os2 0.000 0.000 0.210
Ce1 0.500 0.500 0.500
Ta1 0.500 0.500 0.000

---

# 7
GdTiGe2: optimized geometry, GGA-PBE.

Properties
Its space group is R-3m (166). The calculation puts the total energy at -8.39 eV/atom.

Unit cell a=4.218 b=4.218 c=5.964 alpha=69.29 beta=69.29 gamma=60.00
Fractional coordinates of all 4 atoms:
Ge1 0.731 0.731 0.806
Ge2 0.269 0.269 0.194
Gd1 0.500 0.500 0.500
Ti1 0.000 0.000 0.000

---

# 8
VSe2SBr: optimized geometry, GGA-PBE.

Properties
Its energy above the most stable polymorph in this dataset is 13.77 kcal/mol of atoms. The uncorrected formation energy is 85 kJ per mole of atoms. Its space group is P4/mmm (123). The calculation puts the total energy at -3.49 eV/atom.

Unit cell a=4.901 b=4.901 c=4.895 alpha=90.00 beta=90.00 gamma=90.00
Fractional coordinates of all 5 atoms:
S1 0.000 0.000 0.000
Se1 0.000 0.500 0.000
Se2 0.500 0.000 0.000
Br1 0.000 0.000 0.500
V1 0.500 0.500 0.500